A plane-wave DFT calculation with PBE was carried out for a relaxed structure of Tb2TmHg3.

Cell and atoms, written as POSCAR:
```
Tb2TmHg3
1.0
5.249 0.000 0.000
-2.624 4.546 0.000
0.000 0.000 12.922
Tb Tm Hg
4 2 6
direct
0.000 0.000 0.000
0.000 0.000 0.500
0.333 0.667 0.169
0.667 0.333 0.831
0.333 0.667 0.667
0.667 0.333 0.333
0.000 0.000 0.252
0.000 0.000 0.748
0.333 0.667 0.418
0.333 0.667 0.916
0.667 0.333 0.084
0.667 0.333 0.582
```

Calculated values
ΔE_f   -0.477 eV per atom
Total magnetic moment   0.368 μB per cell

A plane-wave DFT calculation with PBE was carried out for a relaxed structure of KAgPbAu.

Cell and atoms, written as POSCAR:
```
KAgPbAu
1.0
7.455 0.000 0.000
0.000 7.455 0.000
0.000 0.000 7.455
K Ag Pb Au
4 4 4 4
direct
0.000 0.000 0.000
0.000 0.500 0.500
0.500 0.000 0.500
0.500 0.500 0.000
0.250 0.250 0.750
0.250 0.750 0.250
0.750 0.250 0.250
0.750 0.750 0.750
0.000 0.000 0.500
0.000 0.500 0.000
0.500 0.000 0.000
0.500 0.500 0.500
0.250 0.250 0.250
0.250 0.750 0.750
0.750 0.250 0.750
0.750 0.750 0.250
```

Calculated values
ΔE_f   0.016 eV per atom
Total magnetic moment   0.000 μB per cell

A plane-wave DFT calculation with PBE was carried out for a relaxed structure of MgTeAuN2.

Cell and atoms, written as POSCAR:
```
MgTeAuN2
1.0
4.113 0.000 0.000
0.000 4.113 0.000
0.000 0.000 6.246
Mg Te Au N
1 1 1 2
direct
0.000 0.000 0.000
0.000 0.000 0.500
0.500 0.500 0.500
0.000 0.500 0.000
0.500 0.000 0.000
```

Calculated values
Formation energy without anion corrections   1.2372 eV/atom
Relative energy among the computed polymorphs   0.0 kJ/mol of atoms
Total magnetic moment   4.524 μB per cell

A plane-wave DFT calculation with PBE was carried out for a relaxed structure of Co2Ge3S3.

Cell and atoms, written as POSCAR:
```
Co2Ge3S3
1.0
5.816 -3.958 0.000
5.816 3.958 0.000
-5.166 0.000 5.895
Co Ge S
4 6 6
direct
0.000 0.500 0.000
0.000 0.500 0.500
0.500 0.000 0.000
0.500 0.000 0.500
0.157 0.840 0.660
0.160 0.843 0.340
0.352 0.352 0.701
0.648 0.648 0.299
0.840 0.157 0.660
0.843 0.160 0.340
0.057 0.337 0.202
0.337 0.057 0.202
0.353 0.353 0.013
0.647 0.647 0.987
0.663 0.943 0.798
0.943 0.663 0.798
```

Calculated values
Formation energy without anion corrections   -0.1647 eV/atom
Relative energy among the computed polymorphs   24.7 kJ/mol of atoms
Total magnetic moment   0.000 μB per cell

A plane-wave DFT calculation with PBE was carried out for a relaxed structure of Sm4Te3Rh.

Cell and atoms, written as POSCAR:
```
Sm4Te3Rh
1.0
6.229 0.000 0.000
0.000 10.087 0.000
0.000 0.000 9.261
Sm Te Rh
8 6 2
direct
0.250 0.034 0.191
0.250 0.250 0.638
0.250 0.466 0.191
0.250 0.750 0.652
0.750 0.250 0.348
0.750 0.534 0.809
0.750 0.750 0.362
0.750 0.966 0.809
0.250 0.004 0.849
0.250 0.496 0.849
0.250 0.750 0.318
0.750 0.250 0.682
0.750 0.504 0.151
0.750 0.996 0.151
0.250 0.250 0.353
0.750 0.750 0.647
```

Calculated values
Formation energy without anion corrections   -0.9559 eV/atom
Relative energy among the computed polymorphs   24.0 kJ/mol of atoms
Total magnetic moment   0.098 μB per cell

A plane-wave DFT calculation with PBE was carried out for a relaxed structure of Sc2SnPd.

Cell and atoms, written as POSCAR:
```
Sc2SnPd
1.0
3.365 0.000 0.000
0.000 3.365 0.000
0.000 0.000 7.253
Sc Sn Pd
2 1 1
direct
0.000 0.000 0.222
0.000 0.000 0.778
0.500 0.500 0.500
0.500 0.500 0.000
```

Calculated values
ΔE_f   -0.722 eV per atom
Total magnetic moment   0.000 μB per cell

A plane-wave DFT calculation with PBE was carried out for a relaxed structure of SrSc2Os.

Cell and atoms, written as POSCAR:
```
SrSc2Os
1.0
3.517 0.000 0.000
0.000 3.809 0.000
0.000 0.000 7.803
Sr Sc Os
1 2 1
direct
0.000 0.000 0.000
0.000 0.000 0.407
0.500 0.500 0.635
0.500 0.500 0.302
```

Calculated values
ΔE_f   0.084 eV per atom
Relative energy among the computed polymorphs   21.8 kJ/mol of atoms
Total magnetic moment   0.000 μB per cell

A plane-wave DFT calculation with PBE was carried out for a relaxed structure of Zr2HOs.

Cell and atoms, written as POSCAR:
```
Zr2HOs
1.0
3.257 0.000 0.000
-1.629 2.821 0.000
0.000 0.000 20.310
Zr H Os
6 3 3
direct
0.000 0.000 0.235
0.000 0.000 0.765
0.333 0.667 0.431
0.333 0.667 0.902
0.667 0.333 0.098
0.667 0.333 0.569
0.000 0.000 0.500
0.333 0.667 0.167
0.667 0.333 0.833
0.000 0.000 0.000
0.333 0.667 0.667
0.667 0.333 0.333
```

Calculated values
Relative energy among the computed polymorphs   4.3 kJ/mol of atoms
Total magnetic moment   0.000 μB per cell